Entry from Alexandria via LeMat-Bulk: NdMgHg2 after structural relaxation (PBE-GGA).

Summary:
- Crystal system: tetragonal
- ρ: 9.289 Mg/m³
- Symmetry: No. 123
- Energy above the most stable polymorph in this dataset: 101 meV per atom
- Formation energy from the elements: -366.9 meV/atom
- Spin magnetization: 0.00 μB/f.u.
- Fermi-level density of states: 0.524 states/eV per atom

Cell: 3.860 5.137 5.137 Å, 90.00 90.00 90.00°
Atoms (fractional coordinates):
Mg: 0.500 0.000 0.000
Nd: 0.500 0.500 0.500
Hg: 0.000 0.000 0.500
Hg: 0.000 0.500 0.000